The following is a PBE calculation of a geometry-optimized LaMg2Ag9 structure, from the Alexandria database.

Summary:
**V**: 20.12 A^3/atom
**DOS at the Fermi energy**: 5.13 states/eV/f.u.
**Formation energy**: -0.143 eV per atom
**Size of the total moment**: 0.00 μB per formula unit

Unit cell a=11.401 b=11.401 c=7.430 alpha=90.00 beta=90.00 gamma=90.00
Space group I4_1/amd (No. 141, origin choice 2)
Inequivalent atoms, fractional coordinates:
La: 0.000 0.250 0.375 [4 per cell]
Mg: 0.000 0.000 0.000 [8 per cell]
Ag: 0.000 0.250 0.875 [4 per cell]
Ag: 0.122 0.046 0.679 [32 per cell]